LaAl3W: relaxed, PBE-GGA.

Unit cell a=4.901 b=4.901 c=4.901 alpha=90.00 beta=90.00 gamma=90.00
Fractional positions:
La (0.000, 0.000, 0.000)
Al (0.000, 0.500, 0.500)
Al (0.500, 0.000, 0.500)
Al (0.500, 0.500, 0.000)
W (0.500, 0.500, 0.500)

Summary:
The density comes out at 5.69 g/cm3. The formation energy comes out at -2.4 kJ per mole of atoms. The value obtained for the relative energy among the computed polymorphs is 0 meV per atom. For the total energy, the calculation gives -5.85 eV/atom. For the size of the total moment, the calculation gives 0.00 μB/f.u.